Record 1
This record from Alexandria via LeMat-Bulk describes a relaxed structure of BiRhAu. The functional is PBE.

Unit cell a=5.594 b=7.124 c=6.829 alpha=68.59 beta=88.52 gamma=102.89
Element x y z (fractional)
Bi1 0.144 0.112 0.260
Bi2 0.218 0.385 0.694
Bi3 0.721 0.354 0.377
Bi4 0.355 0.870 0.765
Rh1 0.995 0.498 0.987
Rh2 0.501 0.493 0.998
Rh3 0.588 0.961 0.366
Rh4 0.918 0.027 0.668
Au1 0.801 0.649 0.605
Au2 0.836 0.810 0.105
Au3 0.651 0.177 0.922
Au4 0.280 0.667 0.252

## Properties
Formation energy   0.0 eV/f.u.
Size of the total moment   0.000 μB per formula unit
E above lowest polymorph   0 meV per atom
Uncorrected energy   -4.83 eV per atom

***

Record 2
This record from Alexandria via LeMat-Bulk describes a relaxed structure of Bi4RhAu2. The functional is PBE.

Unit cell a=6.915 b=8.882 c=8.842 alpha=119.52 beta=109.74 gamma=108.23
Element x y z (fractional)
Bi1 0.984 0.662 0.730
Bi2 0.267 0.090 0.769
Bi3 0.979 0.252 0.321
Bi4 0.374 0.080 0.293
Bi5 0.681 0.014 0.668
Bi6 0.271 0.497 0.180
Bi7 0.876 0.669 0.207
Bi8 0.569 0.735 0.831
Rh1 0.205 0.690 0.515
Rh2 0.045 0.060 0.985
Au1 0.623 0.873 0.248
Au2 0.627 0.375 0.750
Au3 0.125 0.377 0.752
Au4 0.625 0.375 0.250

## Properties
Formation energy   -0.4 eV/f.u.
Size of the total moment   0.000 μB per formula unit
Uncorrected energy   -4.27 eV per atom

***

Record 3
This record from Alexandria via LeMat-Bulk describes a relaxed structure of Bi8RhAu2. The functional is PBE.

Unit cell a=6.979 b=6.932 c=6.932 alpha=82.37 beta=83.45 gamma=83.45
Element x y z (fractional)
Bi1 0.259 0.280 0.864
Bi2 0.741 0.136 0.720
Bi3 0.071 0.728 0.728
Bi4 0.929 0.272 0.272
Bi5 0.259 0.864 0.280
Bi6 0.741 0.720 0.136
Bi7 0.668 0.620 0.620
Bi8 0.332 0.380 0.380
Rh1 0.000 0.000 0.000
Au1 0.414 0.858 0.858
Au2 0.586 0.142 0.142

## Properties
Formation energy   0.0 eV/f.u.
Size of the total moment   0.000 μB per formula unit
E above lowest polymorph   0 meV per atom
Uncorrected energy   -4.09 eV per atom

***

Record 4
This record from Alexandria via LeMat-Bulk describes a relaxed structure of Bi8RhAu2. The functional is PBE.

Unit cell a=5.050 b=12.059 c=8.871 alpha=136.63 beta=106.08 gamma=89.73
Element x y z (fractional)
Bi1 0.635 0.940 0.267
Bi2 0.330 0.638 0.666
Bi3 0.139 0.144 0.282
Bi4 0.971 0.316 0.955
Bi5 0.861 0.856 0.718
Bi6 0.670 0.362 0.334
Bi7 0.365 0.060 0.733
Bi8 0.029 0.684 0.045
Rh1 0.500 0.000 0.000
Au1 0.194 0.680 0.371
Au2 0.806 0.320 0.629

## Properties
Formation energy   0.3 eV/f.u.
Size of the total moment   0.000 μB per formula unit
E above lowest polymorph   27 meV per atom
Uncorrected energy   -4.06 eV per atom

***

Record 5
This record from Alexandria via LeMat-Bulk describes a relaxed structure of BiRhAu. The functional is PBE.

Unit cell a=4.548 b=4.548 c=4.548 alpha=60.00 beta=60.00 gamma=60.00
Element x y z (fractional)
Rh1 0.250 0.250 0.250
Au1 0.500 0.500 0.500
Bi1 0.000 0.000 0.000

## Properties
Formation energy   0.0 eV/f.u.
Size of the total moment   0.000 μB per formula unit
E above lowest polymorph   4 meV per atom
Uncorrected energy   -4.83 eV per atom

***

Record 6
This record from Alexandria via LeMat-Bulk describes a relaxed structure of Bi4Rh2Au. The functional is PBE.

Unit cell a=7.715 b=7.716 c=7.716 alpha=111.63 beta=110.62 gamma=106.22
Element x y z (fractional)
Bi1 0.894 0.222 0.284
Bi2 0.312 0.528 0.172
Bi3 0.894 0.610 0.672
Bi4 0.718 0.022 0.696
Bi5 0.466 0.140 0.326
Bi6 0.312 0.140 0.784
Bi7 0.437 0.611 0.827
Bi8 0.924 0.728 0.196
Rh1 0.658 0.375 0.783
Rh2 0.658 0.875 0.283
Rh3 0.647 0.431 0.215
Rh4 0.034 0.319 0.715
Au1 0.235 0.711 0.524
Au2 0.062 0.039 0.023

## Properties
Formation energy   -0.6 eV/f.u.
Size of the total moment   0.000 μB per formula unit
Uncorrected energy   -4.87 eV per atom

***

Record 7
This record from Alexandria via LeMat-Bulk describes a relaxed structure of BiRhAu2. The functional is PBE.

Unit cell a=7.834 b=7.834 c=6.170 alpha=50.59 beta=50.59 gamma=90.00
Element x y z (fractional)
Rh1 0.500 0.500 0.000
Rh2 0.250 0.750 0.500
Au1 0.606 0.125 0.250
Au2 0.144 0.625 0.250
Au3 0.375 0.394 0.750
Au4 0.875 0.856 0.750
Bi1 0.000 0.000 0.000
Bi2 0.750 0.250 0.500

## Properties
Formation energy   0.7 eV/f.u.
Size of the total moment   0.000 μB per formula unit
Uncorrected energy   -4.27 eV per atom

***

Record 8
This record from Alexandria via LeMat-Bulk describes a relaxed structure of BiRhAu3. The functional is PBE.

Unit cell a=5.005 b=5.005 c=5.005 alpha=90.00 beta=90.00 gamma=90.00
Element x y z (fractional)
Rh1 0.000 0.000 0.000
Au1 0.000 0.500 0.000
Au2 0.000 0.000 0.500
Au3 0.500 0.000 0.000
Bi1 0.500 0.500 0.500

## Properties
Formation energy   3.7 eV/f.u.
Size of the total moment   0.785 μB per formula unit
E above lowest polymorph   0 meV per atom
Uncorrected energy   -3.48 eV per atom

***

Record 9
This record from Alexandria via LeMat-Bulk describes a relaxed structure of Bi8Rh2Au. The functional is PBE.

Unit cell a=5.508 b=7.817 c=7.817 alpha=83.80 beta=89.74 gamma=89.74
Element x y z (fractional)
Bi1 0.728 0.138 0.691
Bi2 0.272 0.309 0.862
Bi3 0.749 0.232 0.232
Bi4 0.251 0.768 0.768
Bi5 0.728 0.691 0.138
Bi6 0.272 0.862 0.309
Bi7 0.251 0.436 0.436
Bi8 0.749 0.564 0.564
Rh1 0.262 0.207 0.207
Rh2 0.738 0.793 0.793
Au1 0.000 0.000 0.000

## Properties
Formation energy   1.2 eV/f.u.
Size of the total moment   0.000 μB per formula unit
Uncorrected energy   -4.35 eV per atom

***

Record 10
This record from Alexandria via LeMat-Bulk describes a relaxed structure of Bi2RhAu. The functional is PBE.

Unit cell a=3.459 b=3.459 c=7.497 alpha=90.00 beta=90.00 gamma=90.00
Element x y z (fractional)
Rh1 0.500 0.500 0.000
Au1 0.500 0.500 0.500
Bi1 0.000 0.000 0.775
Bi2 0.000 0.000 0.225

## Properties
Formation energy   -0.1 eV/f.u.
Size of the total moment   0.000 μB per formula unit
Uncorrected energy   -4.61 eV per atom

***

Record 11
This record from Alexandria via LeMat-Bulk describes a relaxed structure of Bi5Rh3Au. The functional is PBE.

Unit cell a=7.602 b=7.602 c=9.819 alpha=67.34 beta=67.34 gamma=73.13
Element x y z (fractional)
Bi1 0.968 0.390 0.391
Bi2 0.295 0.705 0.000
Bi3 0.777 0.777 0.005
Bi4 0.445 0.445 0.357
Bi5 0.555 0.555 0.643
Bi6 0.223 0.223 0.995
Bi7 0.390 0.968 0.391
Bi8 0.705 0.295 0.000
Bi9 0.032 0.610 0.609
Bi10 0.610 0.032 0.609
Rh1 0.673 0.673 0.820
Rh2 0.676 0.676 0.309
Rh3 0.000 0.000 0.000
Rh4 0.000 0.000 0.500
Rh5 0.327 0.327 0.180
Rh6 0.324 0.324 0.691
Au1 0.101 0.101 0.690
Au2 0.899 0.899 0.310

## Properties
Formation energy   0.5 eV/f.u.
Size of the total moment   0.000 μB per formula unit
Uncorrected energy   -4.92 eV per atom

***

Record 12
This record from Alexandria via LeMat-Bulk describes a relaxed structure of BiRhAu. The functional is PBE.

Unit cell a=4.562 b=4.071 c=4.071 alpha=120.00 beta=90.00 gamma=90.00
Element x y z (fractional)
Rh1 0.334 0.333 0.667
Au1 0.036 0.000 0.000
Bi1 0.629 0.667 0.333

## Properties
Formation energy   0.4 eV/f.u.
Size of the total moment   0.000 μB per formula unit
E above lowest polymorph   127 meV per atom
Uncorrected energy   -4.70 eV per atom

***

Record 13
This record from Alexandria via LeMat-Bulk describes a relaxed structure of Bi2RhAu. The functional is PBE.

Unit cell a=3.714 b=3.714 c=9.145 alpha=78.29 beta=78.29 gamma=60.00
Element x y z (fractional)
Rh1 0.500 0.500 0.500
Au1 0.000 0.000 0.000
Bi1 0.102 0.102 0.693
Bi2 0.898 0.898 0.307

## Properties
Formation energy   0.2 eV/f.u.
Size of the total moment   0.000 μB per formula unit
Uncorrected energy   -4.55 eV per atom

***

Record 14
This record from Alexandria via LeMat-Bulk describes a relaxed structure of BiRhAu. The functional is PBE.

Unit cell a=3.533 b=3.533 c=5.391 alpha=109.13 beta=109.13 gamma=90.00
Element x y z (fractional)
Au1 0.625 0.625 0.251
Rh1 0.290 0.290 0.580
Bi1 0.935 0.935 0.870

## Properties
Formation energy   0.2 eV/f.u.
Size of the total moment   0.000 μB per formula unit
E above lowest polymorph   49 meV per atom
Uncorrected energy   -4.78 eV per atom

***

Record 15
This record from Alexandria via LeMat-Bulk describes a relaxed structure of Bi5RhAu2. The functional is PBE.

Unit cell a=4.337 b=7.467 c=12.927 alpha=90.00 beta=90.00 gamma=90.00
Element x y z (fractional)
Bi1 0.000 0.000 0.500
Bi2 0.000 0.500 0.000
Bi3 0.000 0.828 0.189
Bi4 0.000 0.172 0.811
Bi5 0.000 0.672 0.689
Bi6 0.000 0.328 0.311
Bi7 0.500 0.658 0.402
Bi8 0.500 0.342 0.598
Bi9 0.500 0.842 0.902
Bi10 0.500 0.158 0.098
Rh1 0.000 0.500 0.500
Rh2 0.000 0.000 0.000
Au1 0.500 0.541 0.176
Au2 0.500 0.459 0.824
Au3 0.500 0.959 0.676
Au4 0.500 0.041 0.324

## Properties
Formation energy   -0.3 eV/f.u.
Size of the total moment   0.000 μB per formula unit
Uncorrected energy   -4.21 eV per atom

***

Record 16
This record from Alexandria via LeMat-Bulk describes a relaxed structure of Bi2RhAu. The functional is PBE.

Unit cell a=7.857 b=7.857 c=6.377 alpha=51.97 beta=51.97 gamma=90.00
Element x y z (fractional)
Rh1 0.500 0.500 0.000
Rh2 0.250 0.750 0.500
Au1 0.000 0.000 0.000
Au2 0.750 0.250 0.500
Bi1 0.594 0.125 0.250
Bi2 0.156 0.625 0.250
Bi3 0.375 0.406 0.750
Bi4 0.875 0.844 0.750

## Properties
Formation energy   0.7 eV/f.u.
Size of the total moment   0.000 μB per formula unit
Uncorrected energy   -4.42 eV per atom

***

Record 17
This record from Alexandria via LeMat-Bulk describes a relaxed structure of SiBiRhAu2. The functional is PBE.

Unit cell a=5.272 b=5.038 c=5.272 alpha=90.00 beta=90.00 gamma=90.00
Element x y z (fractional)
Rh1 0.000 0.500 0.000
Si1 0.500 0.500 0.500
Au1 0.000 0.000 0.500
Au2 0.500 0.000 0.000
Bi1 0.000 0.000 0.000

## Properties
Uncorrected formation energy   1.20 eV/atom
Size of the total moment   0.000 μB per formula unit
Uncorrected energy   -3.44 eV per atom

***

Record 18
This record from Alexandria via LeMat-Bulk describes a relaxed structure of TbBiRhAu. The functional is PBE.

Unit cell a=4.963 b=4.963 c=4.963 alpha=60.00 beta=60.00 gamma=60.00
Element x y z (fractional)
Tb1 0.250 0.250 0.250
Au1 0.500 0.500 0.500
Bi1 0.750 0.750 0.750
Rh1 0.000 0.000 0.000

## Properties
Formation energy   -2.0 eV/f.u.
Size of the total moment   0.000 μB per formula unit
Uncorrected energy   -5.28 eV per atom

***

Record 19
This record from Alexandria via LeMat-Bulk describes a relaxed structure of ThBiRhAu. The functional is PBE.

Unit cell a=5.065 b=5.065 c=5.065 alpha=60.00 beta=60.00 gamma=60.00
Element x y z (fractional)
Rh1 0.500 0.500 0.500
Au1 0.000 0.000 0.000
Bi1 0.250 0.250 0.250
Th1 0.750 0.750 0.750

## Properties
Formation energy   -2.0 eV/f.u.
Size of the total moment   0.000 μB per formula unit
Uncorrected energy   -5.98 eV per atom

***

Record 20
This record from Alexandria via LeMat-Bulk describes a relaxed structure of TiBi2RhAu. The functional is PBE.

Unit cell a=5.291 b=4.678 c=5.291 alpha=90.00 beta=90.00 gamma=90.00
Element x y z (fractional)
Rh1 0.000 0.000 0.000
Au1 0.500 0.500 0.500
Bi1 0.000 0.000 0.500
Bi2 0.500 0.000 0.000
Ti1 0.000 0.500 0.000

## Properties
Formation energy   2.2 eV/f.u.
Size of the total moment   0.000 μB per formula unit
Uncorrected energy   -4.82 eV per atom

***

Record 21
This record from Alexandria via LeMat-Bulk describes a relaxed structure of TmBiRhAu. The functional is PBE.

Unit cell a=4.922 b=4.922 c=4.922 alpha=60.00 beta=60.00 gamma=60.00
Element x y z (fractional)
Rh1 0.500 0.500 0.500
Tm1 0.250 0.250 0.250
Au1 0.000 0.000 0.000
Bi1 0.750 0.750 0.750

## Properties
Formation energy   -2.0 eV/f.u.
Size of the total moment   0.000 μB per formula unit
Uncorrected energy   -5.23 eV per atom

***

Record 22
This record from Alexandria via LeMat-Bulk describes a relaxed structure of BiRhW2Au. The functional is PBE.

Unit cell a=4.754 b=5.090 c=4.754 alpha=90.00 beta=90.00 gamma=90.00
Element x y z (fractional)
Rh1 0.000 0.000 0.000
Au1 0.000 0.500 0.000
Bi1 0.500 0.500 0.500
W1 0.000 0.000 0.500
W2 0.500 0.000 0.000

## Properties
Formation energy   7.5 eV/f.u.
Size of the total moment   2.084 μB per formula unit
Uncorrected energy   -6.59 eV per atom

***

Record 23
This record from Alexandria via LeMat-Bulk describes a relaxed structure of Bi2RuAu. The functional is PBE.

Unit cell a=3.314 b=3.314 c=10.301 alpha=80.74 beta=80.74 gamma=60.00
Element x y z (fractional)
Ru1 0.000 0.000 0.000
Au1 0.500 0.500 0.500
Bi1 0.087 0.087 0.740
Bi2 0.913 0.913 0.260

## Properties
Formation energy   2.9 eV/f.u.
Size of the total moment   0.000 μB per formula unit
Uncorrected energy   -4.35 eV per atom

***

Record 24
This record from Alexandria via LeMat-Bulk describes a relaxed structure of BiRuAu2. The functional is PBE.

Unit cell a=7.843 b=7.843 c=6.171 alpha=50.54 beta=50.54 gamma=90.00
Element x y z (fractional)
Ru1 0.500 0.500 0.000
Ru2 0.250 0.750 0.500
Au1 0.601 0.125 0.250
Au2 0.149 0.625 0.250
Au3 0.375 0.399 0.750
Au4 0.875 0.851 0.750
Bi1 0.000 0.000 0.000
Bi2 0.750 0.250 0.500

## Properties
Formation energy   1.7 eV/f.u.
Size of the total moment   0.000 μB per formula unit
Uncorrected energy   -4.50 eV per atom

***

Record 25
This record from Alexandria via LeMat-Bulk describes a relaxed structure of BiRu2Au. The functional is PBE.

Unit cell a=4.092 b=4.092 c=10.156 alpha=78.38 beta=78.38 gamma=90.00
Element x y z (fractional)
Ru1 0.539 0.125 0.250
Ru2 0.211 0.625 0.250
Ru3 0.375 0.461 0.750
Ru4 0.875 0.789 0.750
Au1 0.500 0.500 0.000
Au2 0.250 0.750 0.500
Bi1 0.000 0.000 0.000
Bi2 0.750 0.250 0.500

## Properties
Formation energy   2.7 eV/f.u.
Size of the total moment   1.084 μB per formula unit
Uncorrected energy   -5.76 eV per atom